No. 1
Below is an optimized crystal structure of Li4Hg3Ge, with properties calculated at the GGA-PBE level.

Values from the calculation:
**Formation energy**: -31.7 kJ per mole of atoms
**Magnetic moment**: 0.0 Bohr magnetons per cell
**Electronic total energy**: -15.81 eV/cell
**Fermi-level density of states**: 3.00 states/eV per cell

a b c (Å): 3.307 3.307 13.009
angles (deg): 90.00 90.00 90.00
Fractional coordinates of all 8 atoms:
Ge1 0.500 0.500 0.000
Li1 0.000 0.000 0.629
Hg1 0.500 0.500 0.756
Hg2 0.500 0.500 0.500
Li2 0.000 0.000 0.115
Hg3 0.500 0.500 0.244
Li3 0.000 0.000 0.885
Li4 0.000 0.000 0.371



No. 2
Below is an optimized crystal structure of LiHg3Ge, with properties calculated at the GGA-PBE level.

Values from the calculation:
**Formation energy**: 29.1 kJ per mole of atoms
**Magnetic moment**: 0.0 Bohr magnetons per cell
**Electronic total energy**: -5.93 eV/cell
**Fermi-level density of states**: 3.46 states/eV per cell

a b c (Å): 4.936 4.936 4.936
angles (deg): 90.00 90.00 90.00
Fractional coordinates of all 5 atoms:
Hg1 0.000 0.500 0.000
Ge1 0.500 0.500 0.500
Li1 0.000 0.000 0.000
Hg2 0.500 0.000 0.000
Hg3 0.000 0.000 0.500



No. 3
Below is an optimized crystal structure of Li3Hg3Ge, with properties calculated at the GGA-PBE level.

Values from the calculation:
**Formation energy**: -25.2 kJ per mole of atoms
**Magnetic moment**: 0.0 Bohr magnetons per cell
**Electronic total energy**: -26.18 eV/cell
**Fermi-level density of states**: 2.27 states/eV per cell

a b c (Å): 6.417 6.417 6.503
angles (deg): 90.01 90.01 88.48
Fractional coordinates of all 14 atoms:
Hg1 0.698 0.302 0.000
Li1 0.000 0.000 0.232
Hg2 0.732 0.268 0.500
Hg3 0.302 0.698 0.000
Ge1 0.745 0.745 0.001
Li2 0.000 0.000 0.768
Li3 0.501 0.999 0.765
Hg4 0.268 0.732 0.500
Li4 0.001 0.499 0.235
Hg5 0.750 0.750 0.499
Hg6 0.250 0.250 0.501
Li5 0.499 0.001 0.235
Li6 0.999 0.501 0.765
Ge2 0.255 0.255 0.999



No. 4
Below is an optimized crystal structure of Li2HgGe, with properties calculated at the GGA-PBE level.

Values from the calculation:
**Formation energy**: -26.2 kJ per mole of atoms
**Magnetic moment**: 0.0 Bohr magnetons per cell
**Electronic total energy**: -9.83 eV/cell
**Fermi-level density of states**: 1.49 states/eV per cell

a b c (Å): 4.575 4.575 4.575
angles (deg): 60.00 60.00 60.00
Fractional coordinates of all 4 atoms:
Hg1 0.500 0.500 0.500
Li1 0.750 0.750 0.750
Li2 0.250 0.250 0.250
Ge1 0.000 0.000 0.000



No. 5
Below is an optimized crystal structure of Li2HgGe, with properties calculated at the GGA-PBE level.

Values from the calculation:
**Formation energy**: -19.3 kJ per mole of atoms
**Magnetic moment**: 0.0 Bohr magnetons per cell
**Electronic total energy**: -9.55 eV/cell
**Fermi-level density of states**: 1.79 states/eV per cell

a b c (Å): 3.082 3.082 9.075
angles (deg): 80.22 80.22 60.00
Fractional coordinates of all 4 atoms:
Li1 0.244 0.244 0.268
Ge1 0.500 0.500 0.499
Hg1 0.666 0.666 0.001
Li2 0.090 0.090 0.731



No. 6
Below is an optimized crystal structure of Li4Hg2Ge, with properties calculated at the GGA-PBE level.

Values from the calculation:
**Formation energy**: -28.0 kJ per mole of atoms
**Magnetic moment**: 0.0 Bohr magnetons per cell
**Electronic total energy**: -14.91 eV/cell
**Fermi-level density of states**: 1.51 states/eV per cell

a b c (Å): 4.573 4.573 7.810
angles (deg): 72.98 72.98 60.00
Fractional coordinates of all 7 atoms:
Li1 0.126 0.126 0.622
Li2 0.623 0.623 0.131
Ge1 0.000 0.000 0.000
Li3 0.377 0.377 0.869
Hg1 0.749 0.749 0.752
Li4 0.874 0.874 0.378
Hg2 0.251 0.251 0.248



No. 7
Below is an optimized crystal structure of Li7Hg3Ge, with properties calculated at the GGA-PBE level.

Values from the calculation:
**Formation energy**: -24.9 kJ per mole of atoms
**Magnetic moment**: 0.0 Bohr magnetons per cell
**Electronic total energy**: -43.52 eV/cell
**Fermi-level density of states**: 7.46 states/eV per cell

a b c (Å): 3.035 8.827 15.586
angles (deg): 90.00 90.00 99.90
Fractional coordinates of all 22 atoms:
Hg1 0.112 0.223 0.994
Li1 0.513 0.026 0.398
Li2 0.399 0.799 0.750
Ge1 0.970 0.940 0.250
Li3 0.487 0.974 0.602
Li4 0.277 0.553 0.578
Li5 0.633 0.267 0.659
Ge2 0.030 0.060 0.750
Hg2 0.244 0.489 0.750
Hg3 0.112 0.223 0.506
Li6 0.601 0.201 0.250
Li7 0.367 0.733 0.341
Li8 0.367 0.733 0.159
Hg4 0.756 0.511 0.250
Li9 0.277 0.553 0.922
Li10 0.723 0.447 0.078
Li11 0.633 0.267 0.841
Li12 0.723 0.447 0.422
Li13 0.513 0.026 0.102
Hg5 0.888 0.777 0.494
Hg6 0.888 0.777 0.006
Li14 0.487 0.974 0.898



No. 8
Below is an optimized crystal structure of Li2HgGe2, with properties calculated at the GGA-PBE level.

Values from the calculation:
**Formation energy**: -16.8 kJ per mole of atoms
**Magnetic moment**: 0.0 Bohr magnetons per cell
**Electronic total energy**: -28.47 eV/cell
**Fermi-level density of states**: 3.06 states/eV per cell
**Offset from the most stable computed form**: 0 meV/atom

a b c (Å): 7.699 7.699 3.103
angles (deg): 90.00 90.00 90.00
Fractional coordinates of all 10 atoms:
Ge1 0.885 0.615 0.000
Li1 0.687 0.813 0.500
Ge2 0.615 0.115 0.000
Hg1 0.000 0.000 0.000
Li2 0.187 0.687 0.500
Li3 0.313 0.187 0.500
Hg2 0.500 0.500 0.000
Ge3 0.115 0.385 0.000
Ge4 0.385 0.885 0.000
Li4 0.813 0.313 0.500